Computed, not measured: a PBEsol-optimized structure of Si2Ni6B at the SCAN level of DFT.

## Properties
D(E_F) (states/eV/cell): 3.886
Uncorrected energy (eV for the cell shown): -128.9
Energy relative to the elements, uncorrected (meV/atom): -493
Crystal system: hexagonal

Cell lengths 2.788, 6.084, 6.084 Å; angles 120.00, 90.00, 90.00 degrees
Positions (direct):
B 0.500 0.000 0.000
Ni 0.500 0.389 0.389
Si 0.000 0.667 0.333
Ni 0.500 0.611 0.000
Ni 0.000 0.754 0.754
Ni 0.000 0.246 0.000
Si 0.000 0.333 0.667
Ni 0.000 0.000 0.246
Ni 0.500 0.000 0.611


Computed, not measured: a PBEsol-optimized structure of Y3Cu at the SCAN level of DFT.

## Properties
D(E_F) (states/eV/cell): 4.839
Uncorrected energy (eV for the cell shown): -98.1
Crystal system: cubic
Formation energy (eV per atom): 0.152

Cell lengths 4.620, 4.620, 4.620 Å; angles 90.00, 90.00, 90.00 degrees
Positions (direct):
Y 0.500 0.500 0.000
Y 0.500 0.000 0.500
Y 0.000 0.500 0.500
Cu 0.000 0.000 0.000